[1]
Here is a relaxed Tb2Ag3Hg5 crystal from Alexandria. Energies are from PBE-GGA.

Geometry as CIF:
```
data_Tb2Ag3Hg5
_cell_length_a 5.8881
_cell_length_b 9.4884
_cell_length_c 9.4884
_cell_angle_alpha 90.97
_cell_angle_beta 71.92
_cell_angle_gamma 71.92
_symmetry_space_group_name_H-M 'P 1'
_symmetry_Int_Tables_number 1
loop_
_symmetry_equiv_pos_as_xyz
'x,y,z'
loop_
_atom_site_label
_atom_site_fract_x
_atom_site_fract_y
_atom_site_fract_z
Tb1 0.1272 0.6069 0.1386
Tb2 0.6272 0.1386 0.6069
Tb3 0.8728 0.3931 0.8614
Tb4 0.3728 0.8614 0.3931
Ag1 0.3677 0.4867 0.7778
Ag2 0.8677 0.7778 0.4867
Ag3 0.6323 0.5133 0.2222
Ag4 0.1323 0.2222 0.5133
Ag5 0.2500 0.0000 0.0000
Ag6 0.7500 0.0000 0.0000
Hg1 0.3932 0.2616 0.9520
Hg2 0.8932 0.9520 0.2616
Hg3 0.6068 0.7384 0.0480
Hg4 0.1068 0.0480 0.7384
Hg5 0.4926 0.7574 0.7574
Hg6 0.5074 0.2426 0.2426
Hg7 0.7500 0.5000 0.5000
Hg8 0.2500 0.5000 0.5000
Hg9 0.0074 0.2426 0.2426
Hg10 0.9926 0.7574 0.7574
```

Results
Fermi-level density of states: 4.12 states/eV/f.u.
calculated formation energy: -0.123 eV per atom
size of the total moment: 0.0 μB per cell
calculated total energy: -0.151 Ry/atom

=====

[2]
Here is a relaxed BeGaSi3 crystal from Alexandria. Energies are from PBE-GGA.

Geometry as CIF:
```
data_BeGaSi3
_cell_length_a 4.7220
_cell_length_b 4.7220
_cell_length_c 4.7220
_cell_angle_alpha 90.00
_cell_angle_beta 90.00
_cell_angle_gamma 90.00
_symmetry_space_group_name_H-M 'P 1'
_symmetry_Int_Tables_number 1
loop_
_symmetry_equiv_pos_as_xyz
'x,y,z'
loop_
_atom_site_label
_atom_site_fract_x
_atom_site_fract_y
_atom_site_fract_z
Be1 0.5000 0.5000 0.5000
Si1 0.0000 0.5000 0.0000
Si2 0.0000 0.0000 0.5000
Si3 0.5000 0.0000 0.0000
Ga1 0.0000 0.0000 0.0000
```

Results
Fermi-level density of states: 2.60 states/eV/f.u.
size of the total moment: 0.0 μB per cell
formation energy without anion corrections: 1.38 eV per atom
calculated total energy: -0.237 Ry/atom

=====

[3]
Here is a relaxed AlPdRh3 crystal from Alexandria. Energies are from PBE-GGA.

Geometry as CIF:
```
data_AlPdRh3
_cell_length_a 4.7220
_cell_length_b 4.7220
_cell_length_c 4.7220
_cell_angle_alpha 90.00
_cell_angle_beta 90.00
_cell_angle_gamma 90.00
_symmetry_space_group_name_H-M 'P 1'
_symmetry_Int_Tables_number 1
loop_
_symmetry_equiv_pos_as_xyz
'x,y,z'
loop_
_atom_site_label
_atom_site_fract_x
_atom_site_fract_y
_atom_site_fract_z
Rh1 0.0000 0.5000 0.0000
Rh2 0.0000 0.0000 0.5000
Rh3 0.5000 0.0000 0.0000
Al1 0.5000 0.5000 0.5000
Pd1 0.0000 0.0000 0.0000
```

Results
Fermi-level density of states: 7.14 states/eV/f.u.
calculated formation energy: 1.383 eV per atom
size of the total moment: 2.4 μB per cell
calculated total energy: -0.354 Ry/atom

=====

[4]
Here is a relaxed TaMo2Ir crystal from Alexandria. Energies are from PBE-GGA.

Geometry as CIF:
```
data_TaMo2Ir
_cell_length_a 2.7537
_cell_length_b 2.7537
_cell_length_c 8.5760
_cell_angle_alpha 90.00
_cell_angle_beta 90.00
_cell_angle_gamma 94.99
_symmetry_space_group_name_H-M 'P 1'
_symmetry_Int_Tables_number 1
loop_
_symmetry_equiv_pos_as_xyz
'x,y,z'
loop_
_atom_site_label
_atom_site_fract_x
_atom_site_fract_y
_atom_site_fract_z
Ir1 0.5000 0.5000 0.7500
Mo1 0.0000 0.0000 0.9789
Mo2 0.0000 0.0000 0.5211
Ta1 0.5000 0.5000 0.2500
```

Results
Fermi-level density of states: 2.48 states/eV/f.u.
calculated formation energy: -0.083 eV per atom
size of the total moment: 0.0 μB per cell
calculated total energy: -0.785 Ry/atom

=====

[5]
Here is a relaxed SiRu2 crystal from Alexandria. Energies are from PBE-GGA.

Geometry as CIF:
```
data_SiRu2
_cell_length_a 6.0983
_cell_length_b 6.0983
_cell_length_c 3.8255
_cell_angle_alpha 90.00
_cell_angle_beta 90.00
_cell_angle_gamma 120.00
_symmetry_space_group_name_H-M 'P 1'
_symmetry_Int_Tables_number 1
loop_
_symmetry_equiv_pos_as_xyz
'x,y,z'
loop_
_atom_site_label
_atom_site_fract_x
_atom_site_fract_y
_atom_site_fract_z
Si1 0.3333 0.6667 0.0000
Si2 0.6667 0.3333 0.0000
Si3 0.0000 0.0000 0.5000
Ru1 0.2568 0.0000 0.0000
Ru2 0.0000 0.2568 0.0000
Ru3 0.7432 0.7432 0.0000
Ru4 0.5946 0.0000 0.5000
Ru5 0.0000 0.5946 0.5000
Ru6 0.4054 0.4054 0.5000
```

Results
Fermi-level density of states: 2.22 states/eV/f.u.
size of the total moment: 0.0 μB per cell
formation energy without anion corrections: -0.33 eV per atom
calculated total energy: -0.611 Ry/atom

=====

[6]
Here is a relaxed CaNb2TcRu crystal from Alexandria. Energies are from PBE-GGA.

Geometry as CIF:
```
data_CaNb2TcRu
_cell_length_a 4.8710
_cell_length_b 4.8129
_cell_length_c 4.8710
_cell_angle_alpha 90.00
_cell_angle_beta 90.00
_cell_angle_gamma 90.00
_symmetry_space_group_name_H-M 'P 1'
_symmetry_Int_Tables_number 1
loop_
_symmetry_equiv_pos_as_xyz
'x,y,z'
loop_
_atom_site_label
_atom_site_fract_x
_atom_site_fract_y
_atom_site_fract_z
Ru1 0.0000 0.0000 0.0000
Nb1 0.0000 0.0000 0.5000
Nb2 0.5000 0.0000 0.0000
Ca1 0.5000 0.5000 0.5000
Tc1 0.0000 0.5000 0.0000
```

Results
Fermi-level density of states: 6.36 states/eV/f.u.
calculated formation energy: 0.918 eV per atom
size of the total moment: 0.8 μB per cell
calculated total energy: -0.547 Ry/atom